The following is a DFT calculation (PBE) of an optimized crystal structure of Pa4AsP2S.

Cell lengths 6.8243, 3.9798, 6.9879 Å; angles 90.00, 109.38, 90.00 degrees
Positions (direct):
Pa1 0.2400 0.0000 0.2405
Pa2 0.2450 0.5000 0.7549
Pa3 0.7550 0.5000 0.2451
Pa4 0.7600 0.0000 0.7595
As1 0.5000 0.5000 0.5000
P1 0.0000 0.5000 0.0000
P2 0.5000 0.0000 0.0000
S1 0.0000 0.0000 0.5000

Total DFT energy (no corrections) = -8.529 eV per atom
Calculated density = 10.1 Mg/m³
SG = P2/m
Total magnetization = 0.00 μB/f.u.


The following is a DFT calculation (PBE) of an optimized crystal structure of Pr7NdCd3.

Cell lengths 8.4318, 8.4318, 8.4318 Å; angles 138.45, 105.04, 89.55 degrees
Positions (direct):
Pr1 0.0000 0.0000 0.0000
Pr2 0.1068 0.7855 0.3213
Pr3 0.3252 0.5000 0.8252
Pr4 0.4642 0.7855 0.6787
Pr5 0.5358 0.2145 0.3213
Pr6 0.6748 0.5000 0.1748
Pr7 0.8932 0.2145 0.6787
Nd1 0.0000 0.5000 0.5000
Cd1 0.2690 0.2690 0.0000
Cd2 0.5000 0.0000 0.5000
Cd3 0.7310 0.7310 0.0000

Total DFT energy (no corrections) = -3.705 eV per atom
Calculated density = 6.6 Mg/m³
SG = Immm
Total magnetization = 0.00 μB/f.u.